This record from Alexandria describes Sr2NiCSe after structural relaxation. The functional is PBE.

The total moment comes out at 0.000 μB/f.u. As for the final energy: -5.02 eV/atom. Its uncorrected formation energy is -0.65 eV/atom.

It has space group P4/mmm (No. 123), with a = 5.4624 Å, b = 5.4624 Å, c = 3.6781 Å, α = 90.00°, β = 90.00° and γ = 90.00°. The inequivalent atoms are Sr at (0.0000, 0.5000, 0.0000), Ni at (0.0000, 0.0000, 0.5000), C at (0.0000, 0.0000, 0.0000) and Se at (0.5000, 0.5000, 0.5000).